Entry 1:
DFT (PBE) results for K2Hg3Ge2Se8 after structural relaxation.

## Properties
Total moment ... 0.000 μB/cell
ΔE_f (raw) ... -0.512 eV per atom
Final energy ... -47.89 eV/f.u.
Theoretical density ... 5.14 g/cm³

Unit cell a=20.4267 b=10.2413 c=8.9934 alpha=90.00 beta=90.00 gamma=90.00
Last column: nearest neighbours and their distance in Å.
Space group Aea2 (No. 41)
Unique sites:
K: 0.1178 0.2049 0.0000  7 Se 3.37-3.71
Hg: 0.0000 0.0000 0.3607  2 Se 2.51
Hg: 0.2444 0.4545 0.2005  2 Se 2.60-2.61
Ge: 0.1350 0.2115 0.5077  4 Se 2.35-2.43
Se: 0.0365 0.2344 0.3587  1 Ge 2.43, 1 Hg 2.51
Se: 0.1226 0.0179 0.6556  1 Ge 2.40, 1 Hg 2.60
Se: 0.1316 0.4057 0.6575  1 Ge 2.40, 1 Hg 2.61
Se: 0.2295 0.2076 0.3591  1 Ge 2.35

=====

Entry 2:
DFT (PBE) results for SrPr4Sn4 after structural relaxation.

## Properties
Total moment ... 0.000 μB/cell
Final energy ... -41.45 eV/f.u.
Theoretical density ... 5.37 g/cm³
Calculated formation energy ... -0.515 eV/atom

Unit cell a=10.4338 b=10.4338 c=6.4024 alpha=90.00 beta=90.00 gamma=90.00
Last column: nearest neighbours and their distance in Å.
Space group P4_2/n (No. 86, origin choice 2)
Unique sites:
Sr: 0.2500 0.2500 0.2500  4 Sn 3.60
Pr: 0.1085 0.6364 0.1367  5 Sn 3.20-3.37
Sn: 0.0520 0.5939 0.6499  1 Sn 2.95, 4 Pr 3.20-3.26

=====

Entry 3:
DFT (PBE) results for ZrBePO2 after structural relaxation.

## Properties
E above lowest polymorph ... 0.000 eV/atom
Total moment ... 0.000 μB/cell
ΔE_f (raw) ... -1.035 eV per atom
Final energy ... -32.77 eV/f.u.
Theoretical density ... 4.73 g/cm³

Unit cell a=3.6428 b=3.6428 c=4.3213 alpha=90.00 beta=90.00 gamma=90.00
Last column: nearest neighbours and their distance in Å.
Space group P4/mmm (No. 123)
Unique sites:
Zr: 0.0000 0.0000 0.0000  4 P 2.58, 8 O 2.83
Be: 0.5000 0.5000 0.5000  4 O 1.82
P: 0.5000 0.5000 0.0000  2 Be 2.16
O: 0.0000 0.5000 0.5000  2 Be 1.82

=====

Entry 4:
DFT (PBE) results for KTcI2O after structural relaxation.

## Properties
E above lowest polymorph ... 0.000 eV/atom
Total moment ... 0.190 μB/cell
ΔE_f (raw) ... -0.732 eV per atom
Final energy ... -23.18 eV/f.u.
Theoretical density ... 5.19 g/cm³

Unit cell a=5.8393 b=5.8393 c=3.8186 alpha=90.00 beta=90.00 gamma=90.00
Last column: nearest neighbours and their distance in Å.
Space group P4/mmm (No. 123)
Unique sites:
K: 0.0000 0.0000 0.0000  8 I 3.49, 2 K 3.82
Tc: 0.5000 0.5000 0.5000  2 O 1.91
I: 0.0000 0.5000 0.5000  2 Tc 2.92
O: 0.5000 0.5000 0.0000  2 Tc 1.91

=====

Entry 5:
DFT (PBE) results for HoLuPuSn after structural relaxation.

## Properties
Total moment ... 27.154 μB/cell
Final energy ... -27.98 eV/f.u.
Theoretical density ... 10.75 g/cm³
Calculated formation energy ... -0.137 eV/atom

Unit cell a=7.5715 b=7.5715 c=7.5715 alpha=90.00 beta=90.00 gamma=90.00
Last column: nearest neighbours and their distance in Å.
Space group F-43m (No. 216)
Unique sites:
Ho: 0.0000 0.0000 0.0000  4 Lu 3.28, 4 Sn 3.28
Lu: 0.2500 0.2500 0.2500  4 Pu 3.28, 4 Ho 3.28
Pu: 0.0000 0.0000 0.5000  4 Sn 3.28, 4 Lu 3.28
Sn: 0.2500 0.2500 0.7500  4 Ho 3.28, 4 Pu 3.28

=====

Entry 6:
DFT (PBE) results for Sc6Tl5Au after structural relaxation.

## Properties
Total moment ... 1.263 μB/cell
Final energy ... -57.14 eV/f.u.
Theoretical density ... 9.03 g/cm³
Calculated formation energy ... -0.337 eV/atom

Unit cell a=5.0560 b=7.1332 c=7.9556 alpha=90.00 beta=107.41 gamma=90.00
Last column: nearest neighbours and their distance in Å.
Space group P2/m (No. 10)
Unique sites:
Sc: 0.0000 0.2398 0.0000  2 Au 3.05, 6 Tl 3.05-3.16
Sc: 0.3416 0.2443 0.6775  1 Au 3.01, 7 Tl 3.05-3.16
Tl: 0.1633 0.0000 0.3333  8 Sc 3.05-3.14
Tl: 0.1657 0.5000 0.3374  8 Sc 3.12-3.16, 1 Tl 3.48
Tl: 0.5000 0.5000 0.0000  8 Sc 3.05-3.14
Au: 0.5000 0.0000 0.0000  8 Sc 3.01-3.05

=====

Entry 7:
DFT (PBE) results for SbBr3N after structural relaxation.

## Properties
E above lowest polymorph ... 0.082 eV/atom
Total moment ... 3.000 μB/cell
ΔE_f (raw) ... 0.638 eV per atom
Final energy ... -14.28 eV/f.u.
Theoretical density ... 3.57 g/cm³

Unit cell a=5.5872 b=5.5872 c=5.5872 alpha=90.00 beta=90.00 gamma=90.00
Last column: nearest neighbours and their distance in Å.
Space group Pm-3m (No. 221)
Unique sites:
Sb: 0.0000 0.0000 0.0000  6 Br 2.79
Br: 0.0000 0.0000 0.5000  2 Sb 2.79
N: 0.5000 0.5000 0.5000  12 Br 3.95

=====

Entry 8:
DFT (PBE) results for CaMgGa2Cu2 after structural relaxation.

## Properties
Total moment ... 0.000 μB/cell
Final energy ... -19.72 eV/f.u.
Theoretical density ... 4.94 g/cm³
Calculated formation energy ... -0.313 eV/atom

Unit cell a=4.3114 b=4.3114 c=6.9137 alpha=90.00 beta=90.00 gamma=120.00
Last column: nearest neighbours and their distance in Å.
Space group P-3m1 (No. 164)
Unique sites:
Ca: 0.0000 0.0000 0.0000  6 Ga 3.20, 6 Cu 3.29, 2 Mg 3.46
Mg: 0.0000 0.0000 0.5000  6 Cu 2.81, 6 Ga 2.88
Ga: 0.3333 0.6667 0.2900  4 Cu 2.49-2.75
Cu: 0.3333 0.6667 0.6884  4 Ga 2.49-2.75